# 1
Nb3Cu4BiO12 GGA-PBE optimized geometry; formation energy (no corrections) = -1.58 eV/atom; space group = R32; volume = 13.075 Å³/atom; magnetization = 2.04 μB/cell
1.0
-3.638 2.021 -5.371
-4.000 -4.073 3.685
1.212 5.524 3.766
Nb Cu Bi O
3 4 1 12
direct
0.562 0.438 0.000
0.438 0.000 0.562
0.000 0.562 0.438
0.914 0.086 0.500
0.086 0.500 0.914
0.500 0.914 0.086
0.500 0.500 0.500
0.000 0.000 0.000
0.500 0.330 0.670
0.899 0.500 0.101
0.101 0.899 0.500
0.500 0.101 0.899
0.339 0.995 0.253
0.253 0.339 0.995
0.995 0.253 0.339
0.661 0.747 0.005
0.005 0.661 0.747
0.747 0.005 0.661
0.670 0.500 0.330
0.330 0.670 0.500


# 2
Rb3VTe4 GGA-PBE optimized geometry; formation energy (no corrections) = -0.77 eV/atom; space group = Pnma; volume = 42.653 Å³/atom; magnetization = 0.00 μB/cell
1.0
-9.868 0.752 -3.740
-3.653 -4.917 8.650
-1.290 10.748 5.565
Te Rb V
16 12 4
direct
0.166 0.951 0.579
0.666 0.549 0.921
0.834 0.049 0.079
0.334 0.451 0.421
0.834 0.049 0.421
0.334 0.451 0.079
0.166 0.951 0.921
0.666 0.549 0.579
0.298 0.254 0.750
0.798 0.246 0.750
0.702 0.746 0.250
0.202 0.754 0.250
0.501 0.923 0.750
0.001 0.577 0.750
0.499 0.077 0.250
0.999 0.423 0.250
0.362 0.592 0.750
0.862 0.908 0.750
0.638 0.408 0.250
0.138 0.092 0.250
0.453 0.798 0.045
0.953 0.702 0.455
0.547 0.202 0.545
0.047 0.298 0.955
0.547 0.202 0.955
0.047 0.298 0.545
0.453 0.798 0.455
0.953 0.702 0.045
0.281 0.018 0.750
0.781 0.482 0.750
0.719 0.982 0.250
0.219 0.518 0.250


What is the formula in the second record? Rb3VTe4